No. 1
Entry from Alexandria: Ni4SnIr after structural relaxation (PBE).

Unit cell a=4.509 b=4.522 c=4.550 alpha=60.43 beta=82.27 gamma=74.46
Element x y z (fractional)
Ni1 0.000 0.166 0.167
Ni2 0.000 0.834 0.833
Ni3 0.500 0.323 0.854
Ni4 0.500 0.677 0.146
Sn1 0.000 0.500 0.500
Ir1 0.500 0.000 0.500

Its energy above the most stable polymorph in this dataset is 0.00 eV/f.u.

=====

No. 2
Entry from Alexandria: NiSnIr after structural relaxation (PBE).

Unit cell a=3.184 b=3.184 c=9.030 alpha=90.00 beta=90.00 gamma=90.00
Element x y z (fractional)
Ni1 0.000 0.000 0.000
Ni2 0.500 0.500 0.500
Sn1 0.000 0.000 0.650
Sn2 0.500 0.500 0.150
Ir1 0.000 0.000 0.325
Ir2 0.500 0.500 0.825

=====

No. 3
Entry from Alexandria: Ni2Sn2Ir after structural relaxation (PBE).

Unit cell a=7.040 b=7.040 c=3.132 alpha=90.00 beta=90.00 gamma=90.00
Element x y z (fractional)
Ni1 0.123 0.377 0.000
Ni2 0.377 0.877 0.000
Ni3 0.623 0.123 0.000
Ni4 0.877 0.623 0.000
Sn1 0.177 0.677 0.500
Sn2 0.323 0.177 0.500
Sn3 0.677 0.823 0.500
Sn4 0.823 0.323 0.500
Ir1 0.000 0.000 0.000
Ir2 0.500 0.500 0.000

=====

no.,M_tot (μB/atom),calculated volume (Å³ per cell),formation energy (eV per formula unit)
1,0.0000,77.74,-0.40
2,0.0000,91.53,0.18
3,0.0000,155.22,0.00